Material: Ac6Hg3Pt
Method: DFT, PBE
State: relaxed

Properties
DFT formation energy: -4.5 eV/f.u.

a b c (Å): 8.228 8.397 11.252
angles (deg): 90.00 81.81 90.00
Atoms (fractional coordinates):
Ac 0.707 0.172 0.934
Ac 0.640 0.185 0.580
Ac 0.677 0.449 0.250
Ac 0.323 0.551 0.750
Ac 0.360 0.815 0.420
Ac 0.293 0.828 0.066
Ac 0.207 0.328 0.434
Ac 0.140 0.315 0.080
Ac 0.177 0.051 0.750
Ac 0.823 0.949 0.250
Ac 0.860 0.685 0.920
Ac 0.793 0.672 0.566
Hg 0.548 0.883 0.783
Hg 0.500 0.500 0.000
Hg 0.452 0.117 0.217
Hg 0.048 0.617 0.283
Hg 0.000 0.000 0.500
Hg 0.952 0.383 0.717
Pt 0.500 0.500 0.500
Pt 0.000 0.000 0.000



Material: Ac4Hg3Pt
Method: DFT, PBE
State: relaxed

Properties
DFT formation energy: -5.0 eV/f.u.

a b c (Å): 3.961 3.961 16.099
angles (deg): 90.00 90.00 90.00
Atoms (fractional coordinates):
Ac 0.000 0.000 0.890
Ac 0.000 0.000 0.110
Ac 0.000 0.000 0.371
Ac 0.000 0.000 0.629
Hg 0.500 0.500 0.245
Hg 0.500 0.500 0.500
Hg 0.500 0.500 0.755
Pt 0.500 0.500 0.000



Material: Ac3Hg2Pt
Method: DFT, PBE
State: relaxed

Properties
DFT formation energy: -3.9 eV/f.u.

a b c (Å): 8.230 8.257 7.549
angles (deg): 82.60 56.97 76.33
Atoms (fractional coordinates):
Ac 0.556 0.237 0.356
Ac 0.698 0.805 0.000
Ac 0.444 0.763 0.644
Ac 0.088 0.763 0.356
Ac 0.912 0.237 0.644
Ac 0.302 0.195 0.000
Hg 0.000 0.000 0.000
Hg 0.500 0.500 0.000
Hg 0.874 0.500 0.251
Hg 0.126 0.500 0.749
Pt 0.318 0.000 0.364
Pt 0.682 0.000 0.636



Material: Ac5HgPt2
Method: DFT, PBE
State: relaxed

Properties
DFT formation energy: -5.7 eV/f.u.

a b c (Å): 8.545 8.461 9.496
angles (deg): 116.46 116.74 90.00
Atoms (fractional coordinates):
Ac 0.524 0.704 0.726
Ac 0.798 0.978 0.274
Ac 0.000 0.000 0.000
Ac 0.500 0.500 0.000
Ac 0.202 0.022 0.726
Ac 0.702 0.204 0.726
Ac 0.024 0.522 0.726
Ac 0.298 0.796 0.274
Ac 0.976 0.478 0.274
Ac 0.476 0.296 0.274
Hg 0.750 0.750 0.500
Hg 0.250 0.250 0.500
Pt 0.136 0.362 0.000
Pt 0.636 0.138 0.000
Pt 0.364 0.862 0.000
Pt 0.864 0.638 0.000



Record order is preserved below.
Uncorrected energy: -72.3 -28.3 -45.7 -77.2 eV for the cell shown
Record order is preserved below.
N(E_F): 22.666 5.253 11.440 17.537 states/eV/cell